[1]
The following is a DFT calculation (PBE-GGA) of a relaxed structure of YRe2Rh.

Summary:
SG = No. 225
magnetization = 0.97 μB per cell
offset from the most stable computed form = 640.1 meV per atom
DFT formation energy = 0.637 eV per atom
VASP energy = -9.04 eV/atom
DOS at the Fermi energy = 6.645 states/eV per cell

abc: 4.5828 4.5828 4.5828
angles: 60.00 60.00 60.00
With the nearest neighbours (Å) after each atom.
Fractional coordinates of all 4 atoms:
Y1 0.0000 0.0000 0.0000  8 Re 2.81
Re1 0.2500 0.2500 0.2500  4 Rh 2.81, 4 Y 2.81
Re2 0.7500 0.7500 0.7500  4 Rh 2.81, 4 Y 2.81
Rh1 0.5000 0.5000 0.5000  8 Re 2.81

=====

[2]
The following is a DFT calculation (PBE-GGA) of a relaxed structure of YRe2Rh.

Summary:
SG = No. 123
magnetization = 0.47 μB per cell
offset from the most stable computed form = 426.1 meV per atom
DFT formation energy = 0.423 eV per atom
VASP energy = -9.26 eV/atom
DOS at the Fermi energy = 5.529 states/eV per cell

abc: 3.3236 3.3236 6.6713
angles: 90.00 90.00 90.00
With the nearest neighbours (Å) after each atom.
Fractional coordinates of all 4 atoms:
Re1 0.0000 0.0000 0.0632  1 Re 2.49, 4 Rh 2.66
Re2 0.0000 0.0000 0.4368  1 Re 2.49, 4 Rh 2.66
Rh1 0.5000 0.5000 0.2500  8 Re 2.66
Y1 0.5000 0.5000 0.7500  8 Re 3.14, 4 Y 3.32, 2 Rh 3.34